Density functional theory data (PBE) for an optimized crystal structure of Pu2Br3F. Values from VASP.

Its formation energy without anion corrections is -1.853 eV per atom. The energy is -7.7785 eV/atom. As for the energy relative to the lowest polymorph listed for this composition: 0.000 eV/atom. As for the volume: 31.17 Å³/atom.

Geometry as Quantum ESPRESSO input:
```
&SYSTEM
  ibrav = 0, nat = 12, ntyp = 3
/
ATOMIC_SPECIES
Pu 244.00 Pu.upf
Br 79.90 Br.upf
F 19.00 F.upf
ATOMIC_POSITIONS angstrom
Pu 2.4499 0.0000 0.3188
Pu 0.1207 0.0000 6.7122
Pu 9.9738 0.0000 3.6965
Pu 7.6447 0.0000 10.0899
Br -0.2794 0.0000 1.8794
Br 5.1549 0.0000 1.5773
Br 2.7151 0.0000 5.2059
Br 7.3794 0.0000 5.2029
Br 4.9397 0.0000 8.8314
Br 10.3739 0.0000 8.5293
F -1.0187 0.0000 8.8347
F 11.1133 0.0000 1.5741
CELL_PARAMETERS angstrom
8.7920 -2.0435 0.0000
8.7920 2.0435 0.0000
-7.4895 0.0000 10.4087
```